The following is a PBE calculation of an optimized crystal structure of NbVGa2, from the Alexandria database.

Unit cell a=7.0796 b=3.5041 c=10.1506 alpha=90.00 beta=90.00 gamma=90.00
Closest atoms and distances in Å follow each position.
Atoms (fractional coordinates):
Nb 0.2356 0.2500 0.2018  7 Ga 2.66-2.95
Nb 0.2644 0.7500 0.7018  7 Ga 2.66-2.95
Nb 0.7356 0.2500 0.2982  7 Ga 2.66-2.95
Nb 0.7644 0.7500 0.7982  7 Ga 2.66-2.95
V 0.0521 0.7500 0.4070  5 Ga 2.54-2.84, 2 V 2.68
V 0.4479 0.2500 0.9070  5 Ga 2.54-2.84, 2 V 2.68
V 0.5521 0.7500 0.0930  5 Ga 2.54-2.84, 2 V 2.68
V 0.9479 0.2500 0.5930  5 Ga 2.54-2.84, 2 V 2.68
Ga 0.0596 0.2500 0.8380  3 Ga 2.59-2.62, 2 V 2.61-2.84, 4 Nb 2.66-2.76
Ga 0.2168 0.7500 0.9906  3 V 2.54-2.59, 3 Ga 2.59-2.62, 2 Nb 2.77
Ga 0.2832 0.2500 0.4906  3 V 2.54-2.59, 3 Ga 2.59-2.62, 2 Nb 2.77
Ga 0.4404 0.7500 0.3380  3 Ga 2.59-2.62, 2 V 2.61-2.84, 4 Nb 2.66-2.76
Ga 0.5596 0.2500 0.6620  3 Ga 2.59-2.62, 2 V 2.61-2.84, 4 Nb 2.66-2.76
Ga 0.7168 0.7500 0.5094  3 V 2.54-2.59, 3 Ga 2.59-2.62, 2 Nb 2.77
Ga 0.7832 0.2500 0.0094  3 V 2.54-2.59, 3 Ga 2.59-2.62, 2 Nb 2.77
Ga 0.9404 0.7500 0.1620  3 Ga 2.59-2.62, 2 V 2.61-2.84, 4 Nb 2.66-2.76

The calculation puts the density at 7.473 g/cm3. The calculation puts the energy relative to the lowest polymorph listed for this composition at 0.000 eV per atom. As for the space group: No. 62. For the size of the total moment, the calculation gives 0.000 μB per formula unit. The calculated formation energy is -0.87 eV per formula unit.